Here is a geometry-optimized Hf4GeSe5 structure from Alexandria via LeMat-Bulk. Energies are from PBE.

a = 8.459 Å, b = 8.459 Å, c = 7.711 Å
α = 101.44°, β = 101.44°, γ = 25.71°
Positions (direct):
Hf 0.002 0.002 0.244
Hf 0.335 0.335 0.921
Hf 0.665 0.665 0.079
Hf 0.998 0.998 0.756
Ge 0.500 0.500 0.000
Se 0.166 0.166 0.327
Se 0.169 0.169 0.822
Se 0.500 0.500 0.500
Se 0.831 0.831 0.178
Se 0.834 0.834 0.673

## Properties
- Volume: 23.44 Å³/atom
- Crystal system: monoclinic
- Energy relative to the elements, uncorrected: -1.144 eV per atom

Here is a geometry-optimized Ho8Te4As3Au structure from Alexandria via LeMat-Bulk. Energies are from PBE.

a = 8.527 Å, b = 8.527 Å, c = 8.527 Å
α = 59.24°, β = 59.24°, γ = 59.24°
Positions (direct):
Ho 0.239 0.239 0.239
Ho 0.240 0.741 0.741
Ho 0.259 0.259 0.760
Ho 0.259 0.760 0.259
Ho 0.741 0.240 0.741
Ho 0.741 0.741 0.240
Ho 0.760 0.259 0.259
Ho 0.761 0.761 0.761
Te 0.000 0.000 0.000
Te 0.000 0.500 0.500
Te 0.500 0.000 0.500
Te 0.500 0.500 0.000
As 0.000 0.000 0.500
As 0.000 0.500 0.000
As 0.500 0.000 0.000
Au 0.500 0.500 0.500

## Properties
- Volume: 26.93 Å³/atom
- Crystal system: trigonal
- Energy relative to the elements, uncorrected: -1.348 eV per atom

Here is a geometry-optimized Ni2HgN structure from Alexandria via LeMat-Bulk. Energies are from PBE.

a = 6.330 Å, b = 6.330 Å, c = 6.330 Å
α = 136.07°, β = 136.07°, γ = 63.88°
Positions (direct):
Ni 0.375 0.174 0.299
Ni 0.826 0.125 0.201
Ni 0.875 0.076 0.701
Ni 0.924 0.625 0.799
Hg 0.250 0.750 0.500
Hg 0.500 0.500 0.000
N 0.000 0.000 0.000
N 0.750 0.250 0.500

## Properties
- Volume: 15.06 Å³/atom
- Crystal system: tetragonal
- Energy relative to the elements, uncorrected: 0.241 eV per atom

Here is a geometry-optimized Sm2EuDy structure from Alexandria via LeMat-Bulk. Energies are from PBE.

a = 12.188 Å, b = 12.188 Å, c = 12.188 Å
α = 17.21°, β = 17.21°, γ = 17.21°
Positions (direct):
Sm 0.246 0.246 0.246
Sm 0.754 0.754 0.754
Eu 0.000 0.000 0.000
Dy 0.500 0.500 0.500

## Properties
- Volume: 34.56 Å³/atom
- Crystal system: trigonal
- E_form: 0.0412 eV/atom

Here is a geometry-optimized DyIn2GaTe4 structure from Alexandria via LeMat-Bulk. Energies are from PBE.

a = 7.814 Å, b = 4.359 Å, c = 7.885 Å
α = 90.00°, β = 109.40°, γ = 90.00°
Positions (direct):
Dy 0.000 0.000 0.000
In 0.500 0.000 0.500
In 0.500 0.500 0.000
Ga 0.000 0.500 0.500
Te 0.236 0.500 0.237
Te 0.248 0.000 0.763
Te 0.752 0.000 0.237
Te 0.764 0.500 0.763

## Properties
- Volume: 31.66 Å³/atom
- Crystal system: monoclinic
- Energy relative to the elements, uncorrected: -0.562 eV per atom

Here is a geometry-optimized KBa2Zr structure from Alexandria via LeMat-Bulk. Energies are from PBE.

a = 6.426 Å, b = 6.426 Å, c = 6.426 Å
α = 60.00°, β = 60.00°, γ = 60.00°
Positions (direct):
K 0.000 0.000 0.000
Ba 0.500 0.500 0.500
Ba 0.750 0.750 0.750
Zr 0.250 0.250 0.250

## Properties
- Volume: 46.91 Å³/atom
- Crystal system: cubic
- E_form: 0.7876 eV/atom

Quick rundown of calculated density, same order as above: 8.371; 8.678; 9.151; 7.389; 6.374; 3.584 Mg/m³